# Cu2MoPt, relaxed, DFT GGA-PBE
# Density of states at the Fermi level (states/eV per cell): 4.16
# Symmetry: Cmmm (65)
# Mass density (Mg/m³): 12.30
# Energy relative to the lowest polymorph listed for this composition (meV per atom): 236
# Energy of formation from the pure elements (eV per atom): 0.18
# Total energy (eV/atom): -6.09
data_Cu2MoPt
_chemical_formula_sum 'Cu2 Mo1 Pt1'
_cell_length_a 4.823
_cell_length_b 4.823
_cell_length_c 2.654
_cell_angle_alpha 90.00
_cell_angle_beta 90.00
_cell_angle_gamma 113.86
_symmetry_space_group_name_H-M 'P 1'
_symmetry_Int_Tables_number 1
loop_
_symmetry_equiv_pos_as_xyz
'x,y,z'
loop_
_atom_site_label
_atom_site_type_symbol
_atom_site_fract_x
_atom_site_fract_y
_atom_site_fract_z
Cu1 Cu 0.000 0.500 0.000
Cu2 Cu 0.500 0.000 0.000
Mo1 Mo 0.000 0.000 0.500
Pt1 Pt 0.500 0.500 0.500

# SrPd2Au2, relaxed, DFT GGA-PBE
# Density of states at the Fermi level (states/eV per cell): 1.38
# Symmetry: I4/mmm (139)
# Mass density (Mg/m³): 10.62
# Energy relative to the lowest polymorph listed for this composition (meV per atom): 0
# Energy of formation from the pure elements (eV per atom): -0.42
# Total energy (eV/atom): -4.15
data_SrPd2Au2
_chemical_formula_sum 'Sr1 Pd2 Au2'
_cell_length_a 6.957
_cell_length_b 6.957
_cell_length_c 6.957
_cell_angle_alpha 145.30
_cell_angle_beta 145.30
_cell_angle_gamma 49.88
_symmetry_space_group_name_H-M 'P 1'
_symmetry_Int_Tables_number 1
loop_
_symmetry_equiv_pos_as_xyz
'x,y,z'
loop_
_atom_site_label
_atom_site_type_symbol
_atom_site_fract_x
_atom_site_fract_y
_atom_site_fract_z
Sr1 Sr 0.000 0.000 0.000
Pd1 Pd 0.250 0.750 0.500
Pd2 Pd 0.750 0.250 0.500
Au1 Au 0.394 0.394 0.000
Au2 Au 0.606 0.606 0.000

# ZrTiAgIr, relaxed, DFT GGA-PBE
# Density of states at the Fermi level (states/eV per cell): 3.39
# Symmetry: F-43m (216)
# Mass density (Mg/m³): 10.30
# Energy of formation from the pure elements (eV per atom): -0.34
# Total energy (eV/atom): -7.37
data_ZrTiAgIr
_chemical_formula_sum 'Zr1 Ti1 Ag1 Ir1'
_cell_length_a 4.644
_cell_length_b 4.644
_cell_length_c 4.644
_cell_angle_alpha 60.00
_cell_angle_beta 60.00
_cell_angle_gamma 60.00
_symmetry_space_group_name_H-M 'P 1'
_symmetry_Int_Tables_number 1
loop_
_symmetry_equiv_pos_as_xyz
'x,y,z'
loop_
_atom_site_label
_atom_site_type_symbol
_atom_site_fract_x
_atom_site_fract_y
_atom_site_fract_z
Zr1 Zr 0.000 0.000 0.000
Ti1 Ti 0.500 0.500 0.500
Ag1 Ag 0.250 0.250 0.250
Ir1 Ir 0.750 0.750 0.750

# PrBi2OsO8, relaxed, DFT GGA-PBE
# Density of states at the Fermi level (states/eV per cell): 3.13
# Symmetry: P2/m (10)
# Raw formation energy (meV per atom): -1537
# Mass density (Mg/m³): 7.62
# Total energy (eV/atom): -6.82
data_PrBi2OsO8
_chemical_formula_sum 'Pr1 Bi2 Os1 O8'
_cell_length_a 5.273
_cell_length_b 6.868
_cell_length_c 5.283
_cell_angle_alpha 90.00
_cell_angle_beta 91.85
_cell_angle_gamma 90.00
_symmetry_space_group_name_H-M 'P 1'
_symmetry_Int_Tables_number 1
loop_
_symmetry_equiv_pos_as_xyz
'x,y,z'
loop_
_atom_site_label
_atom_site_type_symbol
_atom_site_fract_x
_atom_site_fract_y
_atom_site_fract_z
Pr1 Pr 0.000 0.000 0.000
Bi1 Bi 0.500 0.253 0.500
Bi2 Bi 0.500 0.747 0.500
Os1 Os 0.000 0.500 0.000
O1 O 0.180 0.289 0.183
O2 O 0.180 0.711 0.183
O3 O 0.243 0.500 0.762
O4 O 0.319 0.000 0.683
O5 O 0.681 0.000 0.317
O6 O 0.757 0.500 0.238
O7 O 0.820 0.289 0.817
O8 O 0.820 0.711 0.817

# Li3ReI, relaxed, DFT GGA-PBE
# Density of states at the Fermi level (states/eV per cell): 23.30
# Symmetry: Pm-3m (221)
# Raw formation energy (meV per atom): 925
# Mass density (Mg/m³): 4.01
# Energy relative to the lowest polymorph listed for this composition (meV per atom): 0
# Total energy (eV/atom): -3.02
data_Li3ReI
_chemical_formula_sum 'Li3 Re1 I1'
_cell_length_a 5.172
_cell_length_b 5.172
_cell_length_c 5.172
_cell_angle_alpha 90.00
_cell_angle_beta 90.00
_cell_angle_gamma 90.00
_symmetry_space_group_name_H-M 'P 1'
_symmetry_Int_Tables_number 1
loop_
_symmetry_equiv_pos_as_xyz
'x,y,z'
loop_
_atom_site_label
_atom_site_type_symbol
_atom_site_fract_x
_atom_site_fract_y
_atom_site_fract_z
Li1 Li 0.000 0.000 0.500
Li2 Li 0.000 0.500 0.000
Li3 Li 0.500 0.000 0.000
Re1 Re 0.000 0.000 0.000
I1 I 0.500 0.500 0.500

# Ir4Ru2Pt, relaxed, DFT GGA-PBE
# Density of states at the Fermi level (states/eV per cell): 15.10
# Symmetry: P-1 (2)
# Mass density (Mg/m³): 17.91
# Energy of formation from the pure elements (eV per atom): 0.21
# Total energy (eV/atom): -8.37
data_Ir4Ru2Pt
_chemical_formula_sum 'Ir8 Ru4 Pt2'
_cell_length_a 5.137
_cell_length_b 6.470
_cell_length_c 6.926
_cell_angle_alpha 93.14
_cell_angle_beta 108.47
_cell_angle_gamma 95.81
_symmetry_space_group_name_H-M 'P 1'
_symmetry_Int_Tables_number 1
loop_
_symmetry_equiv_pos_as_xyz
'x,y,z'
loop_
_atom_site_label
_atom_site_type_symbol
_atom_site_fract_x
_atom_site_fract_y
_atom_site_fract_z
Ir1 Ir 0.051 0.399 0.259
Ir2 Ir 0.268 0.734 0.123
Ir3 Ir 0.281 0.339 0.965
Ir4 Ir 0.379 0.157 0.472
Ir5 Ir 0.621 0.843 0.528
Ir6 Ir 0.719 0.661 0.035
Ir7 Ir 0.732 0.266 0.877
Ir8 Ir 0.949 0.601 0.741
Ru1 Ru 0.055 0.786 0.420
Ru2 Ru 0.391 0.520 0.651
Ru3 Ru 0.609 0.480 0.349
Ru4 Ru 0.945 0.214 0.580
Pt1 Pt 0.335 0.942 0.804
Pt2 Pt 0.665 0.058 0.196

# GaIBr3, relaxed, DFT GGA-PBE
# Density of states at the Fermi level (states/eV per cell): 0.00
# Symmetry: P2_1/c (14)
# Raw formation energy (meV per atom): -618
# Mass density (Mg/m³): 2.69
# Energy relative to the lowest polymorph listed for this composition (meV per atom): 0
# Total energy (eV/atom): -2.54
data_GaIBr3
_chemical_formula_sum 'Ga4 I4 Br12'
_cell_length_a 11.589
_cell_length_b 7.582
_cell_length_c 16.761
_cell_angle_alpha 90.00
_cell_angle_beta 132.99
_cell_angle_gamma 90.00
_symmetry_space_group_name_H-M 'P 1'
_symmetry_Int_Tables_number 1
loop_
_symmetry_equiv_pos_as_xyz
'x,y,z'
loop_
_atom_site_label
_atom_site_type_symbol
_atom_site_fract_x
_atom_site_fract_y
_atom_site_fract_z
Ga1 Ga 0.074 0.189 0.076
Ga2 Ga 0.074 0.311 0.576
Ga3 Ga 0.926 0.689 0.424
Ga4 Ga 0.926 0.811 0.924
I1 I 0.366 0.074 0.907
I2 I 0.366 0.426 0.407
I3 I 0.634 0.574 0.593
I4 I 0.634 0.926 0.093
Br1 Br 0.021 0.247 0.183
Br2 Br 0.021 0.253 0.683
Br3 Br 0.175 0.619 0.613
Br4 Br 0.175 0.881 0.113
Br5 Br 0.229 0.127 0.574
Br6 Br 0.229 0.373 0.074
Br7 Br 0.771 0.627 0.926
Br8 Br 0.771 0.873 0.426
Br9 Br 0.825 0.119 0.887
Br10 Br 0.825 0.381 0.387
Br11 Br 0.979 0.747 0.317
Br12 Br 0.979 0.753 0.817

# LiPtRhPb, relaxed, DFT GGA-PBE
# Density of states at the Fermi level (states/eV per cell): 2.35
# Symmetry: F-43m (216)
# Mass density (Mg/m³): 12.94
# Energy of formation from the pure elements (eV per atom): -0.27
# Total energy (eV/atom): -5.02
data_LiPtRhPb
_chemical_formula_sum 'Li1 Pt1 Rh1 Pb1'
_cell_length_a 4.530
_cell_length_b 4.530
_cell_length_c 4.530
_cell_angle_alpha 60.00
_cell_angle_beta 60.00
_cell_angle_gamma 60.00
_symmetry_space_group_name_H-M 'P 1'
_symmetry_Int_Tables_number 1
loop_
_symmetry_equiv_pos_as_xyz
'x,y,z'
loop_
_atom_site_label
_atom_site_type_symbol
_atom_site_fract_x
_atom_site_fract_y
_atom_site_fract_z
Li1 Li 0.000 0.000 0.000
Pt1 Pt 0.250 0.250 0.250
Rh1 Rh 0.750 0.750 0.750
Pb1 Pb 0.500 0.500 0.500

# La7Nd3, relaxed, DFT GGA-PBE
# Density of states at the Fermi level (states/eV per cell): 15.44
# Symmetry: Immm (71)
# Mass density (Mg/m³): 6.42
# Energy of formation from the pure elements (eV per atom): 0.04
# Total energy (eV/atom): -4.84
data_La7Nd3
_chemical_formula_sum 'La7 Nd3'
_cell_length_a 9.914
_cell_length_b 9.914
_cell_length_c 9.914
_cell_angle_alpha 146.65
_cell_angle_beta 136.90
_cell_angle_gamma 55.57
_symmetry_space_group_name_H-M 'P 1'
_symmetry_Int_Tables_number 1
loop_
_symmetry_equiv_pos_as_xyz
'x,y,z'
loop_
_atom_site_label
_atom_site_type_symbol
_atom_site_fract_x
_atom_site_fract_y
_atom_site_fract_z
La1 La 0.000 0.000 0.000
La2 La 0.146 0.396 0.750
La3 La 0.300 0.800 0.500
La4 La 0.354 0.604 0.750
La5 La 0.646 0.396 0.250
La6 La 0.700 0.200 0.500
La7 La 0.854 0.604 0.250
Nd1 Nd 0.199 0.199 0.000
Nd2 Nd 0.500 0.000 0.500
Nd3 Nd 0.801 0.801 0.000

# Re2RhSe, relaxed, DFT GGA-PBE
# Density of states at the Fermi level (states/eV per cell): 3.52
# Symmetry: Cmm2 (35)
# Raw formation energy (meV per atom): 497
# Mass density (Mg/m³): 14.58
# Total energy (eV/atom): -8.44
data_Re2RhSe
_chemical_formula_sum 'Re2 Rh1 Se1'
_cell_length_a 2.767
_cell_length_b 2.767
_cell_length_c 9.282
_cell_angle_alpha 90.00
_cell_angle_beta 90.00
_cell_angle_gamma 117.39
_symmetry_space_group_name_H-M 'P 1'
_symmetry_Int_Tables_number 1
loop_
_symmetry_equiv_pos_as_xyz
'x,y,z'
loop_
_atom_site_label
_atom_site_type_symbol
_atom_site_fract_x
_atom_site_fract_y
_atom_site_fract_z
Re1 Re 0.000 0.000 0.000
Re2 Re 0.500 0.500 0.235
Rh1 Rh 0.000 0.000 0.481
Se1 Se 0.500 0.500 0.732

# Ac12Ge5N2, relaxed, DFT GGA-PBE
# Density of states at the Fermi level (states/eV per cell): 16.06
# Symmetry: C2/m (12)
# Raw formation energy (meV per atom): -561
# Mass density (Mg/m³): 7.75
# Total energy (eV/atom): -5.25
data_Ac12Ge5N2
_chemical_formula_sum 'Ac12 Ge5 N2'
_cell_length_a 9.792
_cell_length_b 9.792
_cell_length_c 9.698
_cell_angle_alpha 104.31
_cell_angle_beta 104.31
_cell_angle_gamma 48.24
_symmetry_space_group_name_H-M 'P 1'
_symmetry_Int_Tables_number 1
loop_
_symmetry_equiv_pos_as_xyz
'x,y,z'
loop_
_atom_site_label
_atom_site_type_symbol
_atom_site_fract_x
_atom_site_fract_y
_atom_site_fract_z
Ac1 Ac 0.002 0.002 0.198
Ac2 Ac 0.096 0.592 0.920
Ac3 Ac 0.106 0.597 0.429
Ac4 Ac 0.403 0.894 0.571
Ac5 Ac 0.408 0.904 0.080
Ac6 Ac 0.496 0.496 0.178
Ac7 Ac 0.504 0.504 0.822
Ac8 Ac 0.592 0.096 0.920
Ac9 Ac 0.597 0.106 0.429
Ac10 Ac 0.894 0.403 0.571
Ac11 Ac 0.904 0.408 0.080
Ac12 Ac 0.998 0.998 0.802
Ge1 Ge 0.184 0.184 0.837
Ge2 Ge 0.196 0.196 0.350
Ge3 Ge 0.500 0.500 0.500
Ge4 Ge 0.804 0.804 0.650
Ge5 Ge 0.816 0.816 0.163
N1 N 0.233 0.767 0.000
N2 N 0.767 0.233 0.000

# La3AlTc, relaxed, DFT GGA-PBE
# Density of states at the Fermi level (states/eV per cell): 4.29
# Symmetry: Pm-3m (221)
# Mass density (Mg/m³): 5.63
# Energy relative to the lowest polymorph listed for this composition (meV per atom): 0
# Energy of formation from the pure elements (eV per atom): 0.00
# Total energy (eV/atom): -5.78
data_La3AlTc
_chemical_formula_sum 'La3 Al1 Tc1'
_cell_length_a 5.426
_cell_length_b 5.426
_cell_length_c 5.426
_cell_angle_alpha 90.00
_cell_angle_beta 90.00
_cell_angle_gamma 90.00
_symmetry_space_group_name_H-M 'P 1'
_symmetry_Int_Tables_number 1
loop_
_symmetry_equiv_pos_as_xyz
'x,y,z'
loop_
_atom_site_label
_atom_site_type_symbol
_atom_site_fract_x
_atom_site_fract_y
_atom_site_fract_z
La1 La 0.000 0.000 0.500
La2 La 0.000 0.500 0.000
La3 La 0.500 0.000 0.000
Al1 Al 0.500 0.500 0.500
Tc1 Tc 0.000 0.000 0.000